Below is a geometry-optimized AcNd3Tm6 structure, with properties calculated at the PBE-GGA level.

a b c (Å): 6.487 9.816 9.835
angles (deg): 141.23 111.32 87.87
Element x y z (fractional)
1 Tm 0.856 0.150 0.699
2 Tm 0.368 0.484 0.300
3 Tm 0.050 0.366 0.547
4 Tm 0.144 0.850 0.301
5 Tm 0.632 0.516 0.700
6 Tm 0.950 0.634 0.453
7 Nd 0.487 0.947 0.136
8 Nd 0.513 0.053 0.864
9 Nd 0.000 0.000 0.000
10 Ac 0.500 0.500 0.000

## Properties
The calculation puts the energy of formation at 201.1 meV/atom. The value obtained for the total energy is -0.1589 hartree per atom. As for the total magnetization: 0.0 μB/cell.